Material: SrCa2SiRh
Method: DFT, PBE
State: optimized geometry

Computed properties:
Crystal system: tetragonal
Formation energy from raw total energies (eV per atom): -0.30

a b c (Å): 5.521 5.521 4.756
angles (deg): 90.00 90.00 90.00
Space group P4/mmm (No. 123)
Symmetry-distinct sites (fractional):
1 Sr 0.000 0.000 0.000 (multiplicity 1)
2 Ca 0.000 0.500 0.500 (multiplicity 2)
3 Si 0.500 0.500 0.000 (multiplicity 1)
4 Rh 0.500 0.500 0.500 (multiplicity 1)

Material: CaSiTcRh2
Method: DFT, PBE
State: optimized geometry

Computed properties:
Crystal system: tetragonal
Formation energy from raw total energies (eV per atom): 0.34

a b c (Å): 4.780 4.780 4.604
angles (deg): 90.00 90.00 90.00
Space group P4/mmm (No. 123)
Symmetry-distinct sites (fractional):
1 Ca 0.000 0.000 0.000 (multiplicity 1)
2 Si 0.500 0.500 0.000 (multiplicity 1)
3 Tc 0.500 0.500 0.500 (multiplicity 1)
4 Rh 0.000 0.500 0.500 (multiplicity 2)

Number 1: M_tot 0.00 μB per cell. Number 2: M_tot 0.00 μB per cell.